# 1
# YHfSc GGA-PBE optimized geometry
data_YHfSc
_cell_length_a 3.2630
_cell_length_b 18.9856
_cell_length_c 5.0679
_cell_angle_alpha 90.00
_cell_angle_beta 90.00
_cell_angle_gamma 90.00
_space_group_name_H-M_alt 'C m c m'
_space_group_IT_number 63
_space_group_name_Hall '-C 2c 2'
loop_
_atom_site_label
_atom_site_type_symbol
_atom_site_fract_x
_atom_site_fract_y
_atom_site_fract_z
_atom_site_occupancy
Y1 Y 0.0000 0.2016 0.2500 1
Hf1 Hf 0.0000 0.0352 0.2500 1
Sc1 Sc 0.0000 0.3942 0.2500 1
# theoretical density	6.6	Mg/m³
# energy of formation	77	meV per atom



# 2
# YHf2Sc GGA-PBE optimized geometry
data_YHf2Sc
_cell_length_a 8.1322
_cell_length_b 8.1322
_cell_length_c 6.1485
_cell_angle_alpha 90.00
_cell_angle_beta 90.00
_cell_angle_gamma 90.00
_space_group_name_H-M_alt 'I -4 2 d'
_space_group_IT_number 122
_space_group_name_Hall 'I -4 2bw'
loop_
_atom_site_label
_atom_site_type_symbol
_atom_site_fract_x
_atom_site_fract_y
_atom_site_fract_z
_atom_site_occupancy
Y1 Y 0.0000 0.0000 0.0000 1
Hf1 Hf 0.2374 0.2500 0.6250 1
Sc1 Sc 0.0000 0.0000 0.5000 1
# theoretical density	8.0	Mg/m³
# energy of formation	680	meV per atom



# 3
# YHfSc4 GGA-PBE optimized geometry
data_YHfSc4
_cell_length_a 8.2557
_cell_length_b 13.2752
_cell_length_c 5.9948
_cell_angle_alpha 90.00
_cell_angle_beta 109.62
_cell_angle_gamma 90.00
_space_group_name_H-M_alt 'C 1 2/c 1'
_space_group_IT_number 15
loop_
_space_group_symop_operation_xyz
'x,y,z'
'-x,-y,-z'
'-x,y,-z+1/2'
'x,-y,z+1/2'
'x+1/2,y+1/2,z'
'-x+1/2,-y+1/2,-z'
'-x+1/2,y+1/2,-z+1/2'
'x+1/2,-y+1/2,z+1/2'
loop_
_atom_site_label
_atom_site_type_symbol
_atom_site_fract_x
_atom_site_fract_y
_atom_site_fract_z
_atom_site_occupancy
Y1 Y 0.0000 0.0860 0.2500 1
Hf1 Hf 0.0000 0.4972 0.7500 1
Sc1 Sc 0.0944 0.3110 0.5338 1
Sc2 Sc 0.2139 0.1293 0.8754 1
# theoretical density	4.8	Mg/m³
# energy of formation	125	meV per atom



# 4
# YHfSc4 GGA-PBE optimized geometry
data_YHfSc4
_cell_length_a 5.1749
_cell_length_b 3.3253
_cell_length_c 17.5519
_cell_angle_alpha 90.00
_cell_angle_beta 90.00
_cell_angle_gamma 90.00
_space_group_name_H-M_alt 'A m m 2'
_space_group_IT_number 38
loop_
_space_group_symop_operation_xyz
'x,y,z'
'-x,-y,z'
'-x,y,z'
'x,-y,z'
'x,y+1/2,z+1/2'
'-x,-y+1/2,z+1/2'
'-x,y+1/2,z+1/2'
'x,-y+1/2,z+1/2'
loop_
_atom_site_label
_atom_site_type_symbol
_atom_site_fract_x
_atom_site_fract_y
_atom_site_fract_z
_atom_site_occupancy
Y1 Y 0.0000 0.0000 0.0000 1
Hf1 Hf 0.5000 0.0000 0.7777 1
Sc1 Sc 0.0000 0.0000 0.3292 1
Sc2 Sc 0.0000 0.0000 0.6720 1
Sc3 Sc 0.5000 0.0000 0.1181 1
Sc4 Sc 0.5000 0.0000 0.4343 1
# theoretical density	4.9	Mg/m³
# energy of formation	16	meV per atom



# 5
# YHf2Sc2 GGA-PBE optimized geometry
data_YHf2Sc2
_cell_length_a 8.6392
_cell_length_b 8.6392
_cell_length_c 3.3438
_cell_angle_alpha 90.00
_cell_angle_beta 90.00
_cell_angle_gamma 90.00
_space_group_name_H-M_alt 'P 4/m b m'
_space_group_IT_number 127
_space_group_name_Hall '-P 4 2ab'
loop_
_atom_site_label
_atom_site_type_symbol
_atom_site_fract_x
_atom_site_fract_y
_atom_site_fract_z
_atom_site_occupancy
Y1 Y 0.0000 0.0000 0.0000 1
Hf1 Hf 0.1722 0.3278 0.5000 1
Sc1 Sc 0.1232 0.6232 0.0000 1
# theoretical density	7.1	Mg/m³
# energy of formation	137	meV per atom



# 6
# Y2HfSc GGA-PBE optimized geometry
data_Y2HfSc
_cell_length_a 8.3281
_cell_length_b 8.3281
_cell_length_c 6.4391
_cell_angle_alpha 90.00
_cell_angle_beta 90.00
_cell_angle_gamma 90.00
_space_group_name_H-M_alt 'I -4 2 d'
_space_group_IT_number 122
_space_group_name_Hall 'I -4 2bw'
loop_
_atom_site_label
_atom_site_type_symbol
_atom_site_fract_x
_atom_site_fract_y
_atom_site_fract_z
_atom_site_occupancy
Y1 Y 0.2469 0.2500 0.1250 1
Hf1 Hf 0.0000 0.0000 0.5000 1
Sc1 Sc 0.0000 0.0000 0.0000 1
# theoretical density	6.0	Mg/m³
# energy of formation	617	meV per atom



# 7
# Y2HfSc GGA-PBE optimized geometry
data_Y2HfSc
_cell_length_a 3.3722
_cell_length_b 3.3722
_cell_length_c 9.6133
_cell_angle_alpha 90.00
_cell_angle_beta 90.00
_cell_angle_gamma 90.00
_space_group_name_H-M_alt 'P 4/m m m'
_space_group_IT_number 123
_space_group_name_Hall '-P 4 2'
loop_
_atom_site_label
_atom_site_type_symbol
_atom_site_fract_x
_atom_site_fract_y
_atom_site_fract_z
_atom_site_occupancy
Y1 Y 0.0000 0.0000 0.2398 1
Hf1 Hf 0.5000 0.5000 0.0000 1
Sc1 Sc 0.5000 0.5000 0.5000 1
# theoretical density	6.1	Mg/m³
# energy of formation	129	meV per atom



# 8
# YHf2Sc4 GGA-PBE optimized geometry
data_YHf2Sc4
_cell_length_a 5.4553
_cell_length_b 3.2621
_cell_length_c 10.5099
_cell_angle_alpha 90.00
_cell_angle_beta 98.98
_cell_angle_gamma 90.00
_space_group_name_H-M_alt 'P 1 2/m 1'
_space_group_IT_number 10
loop_
_space_group_symop_operation_xyz
'x,y,z'
'-x,-y,-z'
'-x,y,-z'
'x,-y,z'
loop_
_atom_site_label
_atom_site_type_symbol
_atom_site_fract_x
_atom_site_fract_y
_atom_site_fract_z
_atom_site_occupancy
Y1 Y 0.0000 0.0000 0.0000 1
Hf1 Hf 0.0000 0.0000 0.5000 1
Hf2 Hf 0.5000 0.5000 0.5000 1
Sc1 Sc 0.0927 0.5000 0.2696 1
Sc2 Sc 0.4192 0.0000 0.7615 1
# theoretical density	5.6	Mg/m³
# energy of formation	204	meV per atom